(1)
Here is a relaxed LaTh2Ni crystal from the Alexandria database. Energies are from GGA-PBE.

The value obtained for the calculated volume is 223.3 Å³/cell. The crystal system is monoclinic. The energy above the lowest structure with this stoichiometry is 0.00 eV/f.u. For the theoretical density, the calculation gives 9.84 Mg/m³. For the calculated formation energy, the calculation gives -201 meV per atom.

The space group is P2_1/m (No. 11) and the conventional cell measures 3.7348, 9.9424 and 6.2967 Å, with angles of 90.00, 107.23 and 90.00 degrees. Symmetry generates all atoms from La at (0.0876, 0.2500, 0.1735), Th at (0.3604, 0.0589, 0.7224) and Ni at (0.2098, 0.7500, 0.4183).

---

(2)
Here is a relaxed LaThNi17 crystal from the Alexandria database. Energies are from GGA-PBE.

The value obtained for the calculated volume is 738.9 Å³/cell. The crystal system is trigonal. For the theoretical density, the calculation gives 9.23 Mg/m³. For the calculated formation energy, the calculation gives -201 meV per atom.

The space group is R3m (No. 160, hexagonal axes) and the conventional cell measures 8.3748, 8.3748 and 12.1655 Å, with angles of 90.00, 90.00 and 120.00 degrees. Symmetry generates all atoms from La at (0.0000, 0.0000, 0.0000), Th at (0.0000, 0.0000, 0.3215), Ni at (0.0000, 0.0000, 0.5602), Ni at (0.0000, 0.0000, 0.7575), Ni at (0.9999, 0.5000, 0.1601), Ni at (0.0008, 0.5004, 0.5057), Ni at (0.0443, 0.3766, 0.3268) and Ni at (0.1685, 0.3370, 0.1487).